No. 1
The following is a PBE calculation of a relaxed structure of PmNdHoPu, from Alexandria via LeMat-Bulk.

Values from the calculation:
- calculated volume (Å³/f.u.) = 129.0
- crystal system = cubic
- formation energy (eV per atom) = 0.214

```
data_PmNdHoPu
_symmetry_space_group_name_H-M 'F -4 3 m'
_symmetry_Int_Tables_number 216
_symmetry_space_group_name_Hall 'F -4 2 3'
_cell_length_a 8.0212
_cell_length_b 8.0212
_cell_length_c 8.0212
_cell_angle_alpha 90.00
_cell_angle_beta 90.00
_cell_angle_gamma 90.00
loop_
_atom_site_label
_atom_site_fract_x
_atom_site_fract_y
_atom_site_fract_z
Pm1 0.0000 0.0000 0.0000
Nd1 0.0000 0.0000 0.5000
Ho1 0.2500 0.2500 0.2500
Pu1 0.2500 0.2500 0.7500
```


No. 2
The following is a PBE calculation of a relaxed structure of YTh3Sc3, from Alexandria via LeMat-Bulk.

Values from the calculation:
- calculated volume (Å³/f.u.) = 203.2
- crystal system = trigonal
- energy above the lowest structure with this stoichiometry (meV/atom) = 2
- formation energy (eV per atom) = 0.060

```
data_YTh3Sc3
_symmetry_space_group_name_H-M 'R -3'
_symmetry_Int_Tables_number 148
_symmetry_space_group_name_Hall '-R 3'
_cell_length_a 9.1005
_cell_length_b 9.1005
_cell_length_c 16.9948
_cell_angle_alpha 90.00
_cell_angle_beta 90.00
_cell_angle_gamma 120.00
loop_
_atom_site_label
_atom_site_fract_x
_atom_site_fract_y
_atom_site_fract_z
Y1 0.0000 0.0000 0.2481
Th1 0.0416 0.8022 0.4163
Sc1 0.0454 0.8093 0.9195
```


Which value of formation energy does entry 2 give?
0.060 eV per atom


What is the formula in the first record?
PmNdHoPu


What is the formation energy in the first record?
0.214 eV per atom


What is the formula in the second record?
YTh3Sc3